1.
{"formula": "TaPIrO2", "functional": "PBE", "state": "relaxed", "e_tot_ev_per_cell": -35.8, "e_form_raw_ev_per_atom": 0.055, "rho_g_cm3": 6.76, "lattice": [[-1.223, -0.194, -3.425], [-2.201, -2.745, 0.942], [-5.835, 5.291, 1.785]], "species": ["P", "Ir", "O", "O", "Ta"], "frac_coords": [[0.000, 0.000, 0.500], [0.000, 0.000, 0.000], [0.000, 0.500, 0.000], [0.500, 0.000, 0.000], [0.500, 0.500, 0.500]]}

2.
{"formula": "Na3AgCl4", "functional": "PBE", "state": "relaxed", "e_tot_ev_per_cell": -25.9, "e_form_raw_ev_per_atom": -1.461, "rho_g_cm3": 2.92, "lattice": [[0.715, -0.210, -5.612], [5.570, 0.749, 0.683], [-2.428, -5.877, 2.768]], "species": ["Na", "Na", "Na", "Ag", "Cl", "Cl", "Cl", "Cl"], "frac_coords": [[0.500, 0.500, 0.000], [0.750, 0.250, 0.500], [0.250, 0.750, 0.500], [0.000, 0.000, 0.000], [0.000, 0.500, 0.000], [0.500, 0.000, 0.000], [0.249, 0.249, 0.497], [0.751, 0.751, 0.503]]}

3.
{"formula": "K2CdRh", "functional": "PBE", "state": "relaxed", "e_tot_ev_per_cell": -8.6, "e_form_ev_per_atom": 0.48, "rho_g_cm3": 4.39, "lattice": [[-5.219, -0.322, 2.668], [0.288, -0.135, -5.862], [0.291, -3.701, 0.106]], "species": ["Cd", "K", "K", "Rh"], "frac_coords": [[0.000, 0.500, 0.500], [0.000, 0.000, 0.000], [0.500, 0.500, 0.000], [0.500, 0.000, 0.500]]}

4.
{"formula": "LaTbPr2Dy", "functional": "PBE", "state": "relaxed", "e_tot_ev_per_cell": -44.8, "e_form_ev_per_atom": 0.27, "rho_g_cm3": 6.89, "lattice": [[-4.816, 4.382, -1.257], [-5.834, -5.615, 2.779], [1.039, 2.754, 5.617]], "species": ["La", "La", "Tb", "Tb", "Pr", "Pr", "Pr", "Pr", "Dy", "Dy"], "frac_coords": [[0.000, 0.000, 0.000], [0.000, 0.000, 0.500], [0.565, 0.000, 0.250], [0.435, 0.000, 0.750], [0.689, 0.690, 0.787], [0.689, 0.310, 0.713], [0.311, 0.690, 0.287], [0.311, 0.310, 0.213], [0.164, 0.500, 0.750], [0.836, 0.500, 0.250]]}

5.
{"formula": "TaZn2In", "functional": "PBE", "state": "relaxed", "e_tot_ev_per_cell": -16.5, "e_form_ev_per_atom": 0.15, "rho_g_cm3": 9.92, "lattice": [[4.386, 0.000, 0.000], [0.000, 2.937, -0.008], [0.000, 0.020, 5.544]], "species": ["In", "Ta", "Zn", "Zn"], "frac_coords": [[0.500, 0.250, 0.250], [0.500, 0.750, 0.750], [0.000, 0.249, 0.969], [0.000, 0.251, 0.531]]}

6.
{"formula": "Ce2Zr2Sc7", "functional": "PBE", "state": "relaxed", "e_tot_ev_per_cell": -70.5, "e_form_ev_per_atom": 0.25, "rho_g_cm3": 4.63, "lattice": [[6.197, 0.976, 1.408], [0.408, 6.779, 0.770], [0.408, -1.660, 6.618]], "species": ["Ce", "Ce", "Zr", "Zr", "Sc", "Sc", "Sc", "Sc", "Sc", "Sc", "Sc"], "frac_coords": [[0.500, 0.143, 0.857], [0.500, 0.857, 0.143], [0.929, 0.367, 0.367], [0.071, 0.633, 0.633], [0.185, 0.080, 0.575], [0.815, 0.425, 0.920], [0.815, 0.920, 0.425], [0.185, 0.575, 0.080], [0.000, 0.000, 0.000], [0.511, 0.679, 0.679], [0.489, 0.321, 0.321]]}

7.
{"formula": "CsBaNaBr4", "functional": "PBE", "state": "relaxed", "e_tot_ev_per_cell": -47.4, "e_form_raw_ev_per_atom": -1.847, "rho_g_cm3": 3.39, "lattice": [[-7.412, 0.546, -3.170], [3.051, -0.135, -7.156], [2.486, -9.765, 1.244]], "species": ["Cs", "Cs", "Ba", "Ba", "Na", "Na", "Br", "Br", "Br", "Br", "Br", "Br", "Br", "Br"], "frac_coords": [[0.729, 0.750, 0.945], [0.271, 0.250, 0.055], [0.783, 0.750, 0.447], [0.217, 0.250, 0.553], [0.240, 0.750, 0.317], [0.760, 0.250, 0.683], [0.016, 0.505, 0.712], [0.984, 0.005, 0.288], [0.984, 0.495, 0.288], [0.016, 0.995, 0.712], [0.451, 0.750, 0.151], [0.549, 0.250, 0.849], [0.477, 0.750, 0.588], [0.523, 0.250, 0.412]]}

8.
{"formula": "BaAsPb", "functional": "PBE", "state": "relaxed", "e_tot_ev_per_cell": -23.8, "e_form_ev_per_atom": -0.54, "rho_g_cm3": 7.03, "lattice": [[6.722, 0.000, 0.000], [0.000, 5.165, -2.197], [0.000, 0.236, 5.607]], "species": ["Ba", "Ba", "As", "As", "Pb", "Pb"], "frac_coords": [[0.250, 0.654, 0.346], [0.750, 0.346, 0.654], [0.250, 0.294, 0.706], [0.750, 0.706, 0.294], [0.500, 0.000, 0.000], [0.000, 0.000, 0.000]]}

> Which formula does entry 4 have?

LaTbPr2Dy